Li8FeO4F2: relaxed, PBE with a Hubbard U.

Calculated values
The calculation puts the energy relative to the lowest polymorph listed for this composition at 81.5 meV/atom. The total energy comes out at -146.861 eV for the cell shown. The total magnetic moment comes out at 0.01 μB/f.u. Its crystal system is triclinic.

a b c (Å): 5.4401 5.4279 10.8968
angles (deg): 104.60 80.85 115.91
Each line ends with the local moment (μB).
Atoms (fractional coordinates):
Fe 0.5000 0.5000 0.5000  2.00
Fe 0.0000 0.0000 0.0000  -1.97
Li 0.6369 0.8135 0.3145  0.00
Li 0.2643 0.1384 0.3103  0.00
Li 0.3852 0.9260 0.8184  0.00
Li 0.0638 0.5615 0.6599  0.00
Li 0.6148 0.0740 0.1816  0.00
Li 0.0183 0.2704 0.8357  0.00
Li 0.3312 0.4354 0.1762  0.00
Li 0.2748 0.8507 0.4602  0.00
Li 0.9817 0.7296 0.1643  0.00
Li 0.9362 0.4385 0.3401  0.00
Li 0.3631 0.1865 0.6855  0.00
Li 0.6688 0.5646 0.8238  0.00
Li 0.7357 0.8616 0.6897  0.00
Li 0.4273 0.7276 0.0006  0.00
Li 0.5727 0.2724 0.9994  0.00
Li 0.7252 0.1493 0.5398  0.00
F 0.0410 0.6249 0.8493  -0.01
F 0.0279 0.1786 0.6451  0.00
F 0.9590 0.3751 0.1507  -0.01
F 0.9721 0.8214 0.3549  0.00
O 0.5796 0.1671 0.3847  -0.01
O 0.7086 0.9612 0.8862  0.01
O 0.4204 0.8329 0.6153  -0.01
O 0.3049 0.5104 0.3644  0.00
O 0.6951 0.4896 0.6356  0.00
O 0.2914 0.0388 0.1138  0.01
O 0.3321 0.2670 0.8824  0.01
O 0.6679 0.7330 0.1176  0.01